The following is a PBE with a Hubbard U calculation of crystalline Tl2FeCuF6 at its relaxed geometry, from Alexandria.

```
Tl2FeCuF6
1.0
-1.9748 -5.2028 -3.0798
5.7784 -2.5672 0.6316
-2.1848 -3.2304 6.8581
F Tl Cu Fe
12 4 2 2
direct
0.0000 0.7502 0.7448
0.0000 0.7502 0.2552
0.7177 0.4683 0.5000
0.2179 0.9678 0.0000
0.7179 0.0322 0.5000
0.7821 0.9678 0.0000
0.2177 0.5317 0.0000
0.7823 0.5317 0.0000
0.2821 0.0322 0.5000
0.2823 0.4683 0.5000
0.5000 0.2498 0.2448
0.5000 0.2498 0.7552
0.0000 0.2499 0.7498
0.5000 0.7501 0.2498
0.5000 0.7501 0.7502
0.0000 0.2499 0.2502
0.0000 0.7497 0.5000
0.5000 0.2503 0.0000
0.0000 0.7499 0.0000
0.5000 0.2501 0.5000
```

Properties
- Density: 6.688 g/cm³
- E: -4.501 eV/atom
- Spin magnetization: 4.953 μB per formula unit